Entry 1:
Compound: LiPmSn
Source: the Open Quantum Materials Database
Functional: GGA-PBE
Structure: optimized geometry

Cell: 4.722 4.722 4.722 Å, 60.00 60.00 60.00°
Fractional coordinates of all 3 atoms:
1 Li 0.000 0.000 0.000
2 Pm 0.750 0.750 0.750
3 Sn 0.250 0.250 0.250

Properties
Volume in Å³ per atom: 24.82
Total energy in eV/atom: -4.0509
Total magnetization in μB/cell: 0.0

=====

Entry 2:
Compound: SrLiPm
Source: the Open Quantum Materials Database
Functional: GGA-PBE
Structure: optimized geometry

Cell: 5.446 5.446 5.446 Å, 60.00 60.00 60.00°
Fractional coordinates of all 3 atoms:
1 Sr 0.000 0.000 0.000
2 Li 0.750 0.750 0.750
3 Pm 0.500 0.500 0.500

Properties
Volume in Å³ per atom: 38.08
Total energy in eV/atom: -2.3130
Total magnetization in μB/cell: 0.4

=====

Entry 3:
Compound: LiPmTc
Source: the Open Quantum Materials Database
Functional: GGA-PBE
Structure: optimized geometry

Cell: 4.433 4.433 4.433 Å, 60.00 60.00 60.00°
Fractional coordinates of all 3 atoms:
1 Li 0.000 0.000 0.000
2 Pm 0.750 0.750 0.750
3 Tc 0.250 0.250 0.250

Properties
Volume in Å³ per atom: 20.53
Total energy in eV/atom: -4.9011
Total magnetization in μB/cell: 1.1

=====

Entry 4:
Compound: LiPmTe
Source: the Open Quantum Materials Database
Functional: GGA-PBE
Structure: optimized geometry

Cell: 5.063 5.063 5.063 Å, 60.00 60.00 60.00°
Fractional coordinates of all 3 atoms:
1 Li 0.000 0.000 0.000
2 Pm 0.250 0.250 0.250
3 Te 0.500 0.500 0.500

Properties
Volume in Å³ per atom: 30.59
Total energy in eV/atom: -3.6744
Total magnetization in μB/cell: 0.0